No. 1
A relaxed SrTlTeI crystal, computed with GGA-PBE.

Cell: 5.847 5.847 5.847 Å, 60.00 60.00 60.00°
Positions (direct):
I 0.500 0.500 0.500
Sr 0.750 0.750 0.750
Tl 0.250 0.250 0.250
Te 0.000 0.000 0.000

Values from the calculation:
The relative energy among the computed polymorphs comes out at 144.7 meV per atom. For the uncorrected formation energy, the calculation gives -1.050 eV per atom. The space-group type is No. 216.

***

No. 2
A relaxed Tb4Pm2Y2Ho crystal, computed with GGA-PBE.

Cell: 3.612 9.545 9.598 Å, 115.23 90.00 100.91°
Positions (direct):
Tb 0.815 0.630 0.665
Tb 0.185 0.370 0.335
Tb 0.519 0.038 0.333
Tb 0.481 0.962 0.667
Pm 0.334 0.668 0.000
Pm 0.666 0.332 0.000
Y 0.853 0.706 0.336
Y 0.147 0.294 0.664
Ho 0.000 0.000 0.000

Values from the calculation:
The space-group type is No. 12. The raw total energy is -5.06 eV per atom.

***

No. 3
A relaxed Mg2GaSbP crystal, computed with GGA-PBE.

Cell: 4.807 5.522 4.807 Å, 90.00 90.00 90.00°
Positions (direct):
Sb 0.000 0.500 0.000
Mg 0.000 0.000 0.500
Mg 0.500 0.000 0.000
Ga 0.500 0.500 0.500
P 0.000 0.000 0.000

Values from the calculation:
For the uncorrected formation energy, the calculation gives 0.110 eV per atom. The space-group type is No. 123.

***

No. 4
A relaxed BaIn2Co crystal, computed with GGA-PBE.

Cell: 6.283 6.283 6.283 Å, 147.76 126.00 64.30°
Site moments in Bohr magnetons follow the coordinates.
Positions (direct):
Ba 0.750 0.250 0.500  -0.05
Co 0.250 0.750 0.500  1.13
In 0.055 0.055 0.000  -0.01
In 0.445 0.445 0.000  -0.01

Values from the calculation:
The space-group type is No. 71. The raw total energy is -3.50 eV per atom.

***

No. 5
A relaxed Pu2ZnNi4P3 crystal, computed with GGA-PBE.

Cell: 3.951 3.951 9.444 Å, 90.00 90.00 90.00°
Site moments in Bohr magnetons follow the coordinates.
Positions (direct):
Pu 0.500 0.000 0.245  4.99
Pu 0.000 0.500 0.755  4.99
Zn 0.500 0.500 0.500  0.04
Ni 0.500 0.500 0.000  -0.09
Ni 0.000 0.000 0.000  -0.10
Ni 0.500 0.000 0.632  -0.01
Ni 0.000 0.500 0.368  -0.01
P 0.000 0.000 0.500  -0.04
P 0.500 0.000 0.868  -0.06
P 0.000 0.500 0.132  -0.06

Values from the calculation:
The space-group type is No. 115. The raw total energy is -7.65 eV per atom.

***

No. 6
A relaxed ZrGa4Rh5 crystal, computed with GGA-PBE.

Cell: 3.015 3.015 16.212 Å, 90.00 90.00 90.00°
Positions (direct):
Zr 0.000 0.000 0.000
Ga 0.000 0.000 0.212
Ga 0.000 0.000 0.405
Ga 0.000 0.000 0.595
Ga 0.000 0.000 0.788
Rh 0.500 0.500 0.122
Rh 0.500 0.500 0.312
Rh 0.500 0.500 0.500
Rh 0.500 0.500 0.688
Rh 0.500 0.500 0.878

Values from the calculation:
The space-group type is No. 123. The raw total energy is -6.46 eV per atom.

***

No. 7
A relaxed CdHgOs4 crystal, computed with GGA-PBE.

Cell: 5.277 5.277 5.277 Å, 60.00 60.00 60.00°
Site moments in Bohr magnetons follow the coordinates.
Positions (direct):
Cd 0.750 0.750 0.750  -0.01
Hg 0.000 0.000 0.000  -0.01
Os 0.875 0.375 0.375  0.42
Os 0.375 0.375 0.875  0.42
Os 0.375 0.875 0.375  0.42
Os 0.375 0.375 0.375  0.42

Values from the calculation:
The space-group type is No. 216. The raw total energy is -6.79 eV per atom.

***

No. 8
A relaxed PaH2N crystal, computed with GGA-PBE.

Cell: 3.722 4.197 5.280 Å, 90.00 90.00 90.00°
Positions (direct):
Pa 0.250 0.750 0.223
Pa 0.750 0.250 0.777
H 0.750 0.984 0.405
H 0.250 0.016 0.595
H 0.250 0.484 0.595
H 0.750 0.516 0.405
N 0.750 0.750 0.964
N 0.250 0.250 0.036

Values from the calculation:
The space-group type is No. 59. The raw total energy is -7.06 eV per atom.

***

No. 9
A relaxed LiZrAs2 crystal, computed with GGA-PBE.

Cell: 3.963 3.963 6.257 Å, 71.54 71.54 60.00°
Positions (direct):
Li 0.492 0.492 0.525
Zr 0.670 0.670 0.990
As 0.090 0.090 0.730
As 0.248 0.248 0.255

Values from the calculation:
The relative energy among the computed polymorphs comes out at 65.5 meV per atom. The space-group type is No. 160.

***

No. 10
A relaxed Ba2TaP crystal, computed with GGA-PBE.

Cell: 9.673 9.673 9.673 Å, 25.96 25.96 25.96°
Site moments in Bohr magnetons follow the coordinates.
Positions (direct):
Ba 0.982 0.982 0.982  0.07
Ba 0.518 0.518 0.518  0.07
P 0.250 0.250 0.250  -0.01
Ta 0.750 0.750 0.750  2.16

Values from the calculation:
The space-group type is No. 166. The raw total energy is -4.61 eV per atom.

***

No. 11
A relaxed GeTe3Pb crystal, computed with GGA-PBE.

Cell: 5.460 5.460 5.460 Å, 90.00 90.00 90.00°
Positions (direct):
Pb 0.500 0.500 0.500
Ge 0.000 0.000 0.000
Te 0.000 0.500 0.000
Te 0.000 0.000 0.500
Te 0.500 0.000 0.000

Values from the calculation:
The relative energy among the computed polymorphs comes out at 322.7 meV per atom. For the uncorrected formation energy, the calculation gives 0.202 eV per atom. The space-group type is No. 221.

***

No. 12
A relaxed ZrC crystal, computed with GGA-PBE.

Cell: 5.765 5.765 5.574 Å, 61.08 61.08 33.49°
Positions (direct):
Zr 0.945 0.945 0.968
Zr 0.123 0.123 0.269
Zr 0.766 0.766 0.626
C 0.577 0.577 0.035
C 0.312 0.312 0.300
C 0.444 0.444 0.301

Values from the calculation:
The relative energy among the computed polymorphs comes out at 569.6 meV per atom. The space-group type is No. 44.